Entry 1:
DFT (PBE) results for crystalline TbDyTm2 at its relaxed geometry.

Summary:
Calculated total energy ... -0.3323 Ry/atom

Unit cell a=3.5137 b=3.5137 c=9.9321 alpha=90.00 beta=90.00 gamma=90.00
With the nearest neighbours (Å) after each atom.
Space group P4/mmm (No. 123)
One atom of each set of equivalent atoms:
1 Tb 0.0000 0.0000 0.0000 [1 per cell]  4 Tb 3.51, 8 Tm 3.52
2 Dy 0.0000 0.0000 0.5000 [1 per cell]  8 Tm 3.51, 4 Dy 3.51
3 Tm 0.5000 0.5000 0.2504 [2 per cell]  4 Dy 3.51, 4 Tm 3.51, 4 Tb 3.52


Entry 2:
DFT (PBE) results for crystalline BeCu2P at its relaxed geometry.

Summary:
Calculated total energy ... -0.3037 Ry/atom

Unit cell a=2.6390 b=2.6390 c=23.0184 alpha=90.00 beta=90.00 gamma=120.00
With the nearest neighbours (Å) after each atom.
Space group R-3m (No. 166, hexagonal axes)
One atom of each set of equivalent atoms:
1 Be 0.0000 0.0000 0.0000 [3 per cell]  6 Cu 2.37, 6 Be 2.64
2 Cu 0.0000 0.0000 0.2545 [6 per cell]  3 Be 2.37, 3 P 2.53, 6 Cu 2.64
3 P 0.0000 0.0000 0.5000 [3 per cell]  6 Cu 2.53, 6 P 2.64


Entry 3:
DFT (PBE) results for crystalline PaIn2PbBr8 at its relaxed geometry.

Summary:
Formation energy without anion corrections ... -1216 kJ/mol of formula units

Unit cell a=7.2149 b=9.0053 c=7.6121 alpha=90.00 beta=92.46 gamma=90.00
With the nearest neighbours (Å) after each atom.
Space group P2/m (No. 10)
One atom of each set of equivalent atoms:
1 Pa 0.0000 0.0000 0.0000 [1 per cell]  6 Br 2.76-2.85
2 In 0.5000 0.2578 0.5000 [2 per cell]  4 Br 3.09-3.41
3 Pb 0.0000 0.5000 0.0000 [1 per cell]  6 Br 3.01-3.12
4 Br 0.2050 0.0000 0.3153 [2 per cell]  1 Pa 2.76
5 Br 0.2280 0.2304 0.8698 [4 per cell]  1 Pa 2.85, 1 Pb 3.12
6 Br 0.2509 0.5000 0.3265 [2 per cell]  1 Pb 3.01, 2 In 3.09